The following is a PBE calculation of an optimized crystal structure of CoSi, from Alexandria via LeMat-Bulk.

Calculated values
DOS(E_F) (states/eV/cell): 2.02
ΔE_f (raw) (eV/atom): -0.41
Symmetry: Pm-3m, No. 221
Magnetization (μB per formula unit): 0.3
Calculated volume (Å³/atom): 10.75

Geometry as POSCAR:
```
CoSi
1.0
-1.594 -2.130 0.808
2.223 -1.240 1.119
-0.497 1.288 2.414
Co Si
1 1
Cartesian
0.000 0.000 0.000 Co
0.066 -1.041 2.170 Si
```



The following is a PBE calculation of an optimized crystal structure of Co5Si, from Alexandria via LeMat-Bulk.

Calculated values
DOS(E_F) (states/eV/cell): 6.62
ΔE_f (raw) (eV/atom): -0.13
Symmetry: P4/mmm, No. 123
Magnetization (μB per formula unit): 6.4
Calculated volume (Å³/atom): 10.85

Geometry as POSCAR:
```
Co5Si
1.0
2.610 0.000 0.000
0.000 2.610 0.000
0.000 0.000 9.557
Co Si
5 1
Cartesian
1.305 1.305 3.137 Co
1.305 1.305 6.421 Co
0.000 0.000 1.434 Co
0.000 0.000 8.124 Co
0.000 0.000 4.779 Co
1.305 1.305 0.000 Si
```



The following is a PBE calculation of an optimized crystal structure of CoSi, from Alexandria via LeMat-Bulk.

Calculated values
DOS(E_F) (states/eV/cell): 3.32
ΔE_f (raw) (eV/atom): 0.00
Symmetry: R-3m, No. 166
Magnetization (μB per formula unit): 0.3
Calculated volume (Å³/atom): 11.84

Geometry as POSCAR:
```
CoSi
1.0
-5.436 -0.694 5.245
-6.632 -1.923 3.141
-4.923 -3.309 4.729
Co Si
2 2
Cartesian
-16.921 -5.901 13.061 Co
-12.813 -4.469 9.890 Co
-8.398 -2.929 6.482 Si
-4.345 -1.516 3.354 Si
```



The following is a PBE calculation of an optimized crystal structure of CoSi, from Alexandria via LeMat-Bulk.

Calculated values
DOS(E_F) (states/eV/cell): 3.05
ΔE_f (raw) (eV/atom): 0.06
Symmetry: P-3m1, No. 164
Magnetization (μB per formula unit): 0.9
Calculated volume (Å³/atom): 11.84

Geometry as POSCAR:
```
CoSi
1.0
2.685 0.000 0.000
-1.343 2.325 0.000
0.000 0.000 7.582
Si Co
2 2
Cartesian
0.000 0.000 3.680 Si
1.343 0.775 5.797 Si
1.343 0.775 1.937 Co
0.000 0.000 7.540 Co
```



The following is a PBE calculation of an optimized crystal structure of Co5Si, from Alexandria via LeMat-Bulk.

Calculated values
DOS(E_F) (states/eV/cell): 9.23
ΔE_f (raw) (eV/atom): 0.30
Symmetry: P6/mmm, No. 191
Magnetization (μB per formula unit): 7.4
Calculated volume (Å³/atom): 12.21

Geometry as POSCAR:
```
Co5Si
1.0
2.242 -3.883 0.000
2.242 3.883 0.000
0.000 0.000 4.208
Co Si
5 1
Cartesian
2.242 0.000 2.104 Co
1.121 -1.942 2.104 Co
2.242 -1.294 0.000 Co
1.121 1.942 2.104 Co
2.242 1.294 0.000 Co
0.000 0.000 0.000 Si
```



The following is a PBE calculation of an optimized crystal structure of Co5Si, from Alexandria via LeMat-Bulk.

Calculated values
DOS(E_F) (states/eV/cell): 10.84
ΔE_f (raw) (eV/atom): -0.17
Symmetry: Pmmn, No. 59
Magnetization (μB per formula unit): 6.2
Calculated volume (Å³/atom): 10.75

Geometry as POSCAR:
```
Co5Si
1.0
3.527 0.000 0.000
0.000 4.941 0.000
0.000 0.000 7.404
Co Si
10 2
Cartesian
2.645 3.099 4.329 Co
2.645 0.612 4.300 Co
2.645 0.612 6.806 Co
2.645 3.099 6.777 Co
0.882 4.330 3.104 Co
0.882 1.843 3.075 Co
0.882 4.333 5.553 Co
0.882 4.330 0.598 Co
0.882 1.843 0.627 Co
2.645 0.608 1.851 Co
2.645 3.066 1.851 Si
0.882 1.875 5.553 Si
```



The following is a PBE calculation of an optimized crystal structure of CoSi, from Alexandria via LeMat-Bulk.

Calculated values
DOS(E_F) (states/eV/cell): 3.30
ΔE_f (raw) (eV/atom): -0.62
Symmetry: P2_13, No. 198
Magnetization (μB per formula unit): 0.0
Calculated volume (Å³/atom): 10.87

Geometry as POSCAR:
```
CoSi
1.0
-1.605 -1.922 -3.655
1.466 -3.932 1.424
-3.861 -0.693 2.060
Co Si
4 4
Cartesian
-1.797 -4.426 -1.475 Co
-3.816 -3.228 -0.092 Co
-0.581 -0.950 -0.025 Co
-1.808 -4.490 1.249 Co
-2.285 -2.106 1.269 Si
-3.374 -5.521 -0.144 Si
-2.150 -2.117 -1.470 Si
-0.194 -3.351 0.004 Si
```



The following is a PBE calculation of an optimized crystal structure of CoSi4, from Alexandria via LeMat-Bulk.

Calculated values
DOS(E_F) (states/eV/cell): 5.47
ΔE_f (raw) (eV/atom): 0.49
Symmetry: Pm-3m, No. 221
Magnetization (μB per formula unit): 0.0
Calculated volume (Å³/atom): 16.39

Geometry as POSCAR:
```
CoSi4
1.0
-2.462 -3.097 -1.792
3.546 -1.818 -1.729
0.483 -2.443 3.559
Co Si
1 4
Cartesian
0.783 -3.679 0.019 Co
-0.990 -2.770 0.883 Si
0.000 0.000 0.000 Si
0.542 -2.458 -1.760 Si
2.014 -2.130 0.915 Si
```



The following is a PBE calculation of an optimized crystal structure of CoSi, from Alexandria via LeMat-Bulk.

Calculated values
DOS(E_F) (states/eV/cell): 2.40
ΔE_f (raw) (eV/atom): 0.06
Symmetry: Fd-3m, No. 227
Magnetization (μB per formula unit): 0.0
Calculated volume (Å³/atom): 11.34

Geometry as POSCAR:
```
CoSi
1.0
4.003 0.000 0.000
2.002 3.467 0.000
2.002 1.156 3.269
Si Co
2 2
Cartesian
4.003 2.311 1.634 Si
2.002 1.156 0.817 Si
0.000 0.000 0.000 Co
6.005 3.467 2.452 Co
```



The following is a PBE calculation of an optimized crystal structure of Co3Si2, from Alexandria via LeMat-Bulk.

Calculated values
DOS(E_F) (states/eV/cell): 2.28
ΔE_f (raw) (eV/atom): -0.42
Symmetry: P-3m1, No. 164
Magnetization (μB per formula unit): 0.0
Energy above the lowest structure with this stoichiometry (eV/f.u.): 0.00
Calculated volume (Å³/atom): 11.62

Geometry as POSCAR:
```
Co3Si2
1.0
3.772 0.000 0.000
-1.886 3.267 0.000
0.000 0.000 4.715
Co Si
3 2
Cartesian
1.886 1.089 3.162 Co
0.000 0.000 0.000 Co
0.000 2.178 1.553 Co
0.000 2.178 3.828 Si
1.886 1.089 0.887 Si
```



The following is a PBE calculation of an optimized crystal structure of CoSi2, from Alexandria via LeMat-Bulk.

Calculated values
DOS(E_F) (states/eV/cell): 2.75
ΔE_f (raw) (eV/atom): -0.23
Symmetry: I4_1/amd, No. 141
Magnetization (μB per formula unit): 0.0
Calculated volume (Å³/atom): 12.18

Geometry as POSCAR:
```
CoSi2
1.0
-1.328 1.328 10.360
1.328 -1.328 10.360
1.328 1.328 -10.360
Si Co
4 2
Cartesian
0.000 0.000 11.868 Si
1.328 0.000 3.672 Si
1.328 0.000 6.688 Si
0.000 0.000 8.852 Si
0.000 0.000 0.000 Co
0.000 1.328 5.180 Co
```



The following is a PBE calculation of an optimized crystal structure of CoSi, from Alexandria via LeMat-Bulk.

Calculated values
DOS(E_F) (states/eV/cell): 9.23
ΔE_f (raw) (eV/atom): 0.45
Symmetry: Pm-3n, No. 223
Magnetization (μB per formula unit): 0.0
Calculated volume (Å³/atom): 20.00

Geometry as POSCAR:
```
CoSi
1.0
6.215 0.000 0.000
0.000 6.215 0.000
0.000 0.000 6.215
Si Co
6 6
Cartesian
1.554 3.107 0.000 Si
0.000 4.661 3.107 Si
0.000 1.554 3.107 Si
3.107 0.000 1.554 Si
3.107 0.000 4.661 Si
4.661 3.107 0.000 Si
3.107 1.554 0.000 Co
0.000 3.107 4.661 Co
3.107 4.661 0.000 Co
4.661 0.000 3.107 Co
1.554 0.000 3.107 Co
0.000 3.107 1.554 Co
```



- Which value of ΔE_f (raw) does entry 9 give?
  0.06 eV/atom



- The highest DOS(E_F) belongs to which entry?
  number 6